A plane-wave DFT calculation with GGA-PBE was carried out for crystalline PrDy2In4 at its relaxed geometry.

Lattice parameters (Å, degrees): 5.9827 5.9827 7.1849 114.60 114.60 90.00
Closest atoms and distances in Å follow each position.
Sites, in units of the cell vectors:
1 Pr 0.0000 0.0000 0.0000  4 In 2.99
2 Dy 0.6456 0.6456 0.2911  8 In 3.23-3.44, 1 Dy 3.38
3 Dy 0.3544 0.3544 0.7089  8 In 3.23-3.44, 1 Dy 3.38
4 In 0.7500 0.2500 0.5000  2 In 2.90, 4 Dy 3.23
5 In 0.2500 0.7500 0.5000  2 In 2.90, 4 Dy 3.23
6 In 0.5000 0.0000 0.0000  2 In 2.90, 2 Pr 2.99
7 In 0.0000 0.5000 0.0000  2 In 2.90, 2 Pr 2.99

The crystal system is tetragonal. As for the energy: -3.7496 eV/atom.


A plane-wave DFT calculation with GGA-PBE was carried out for crystalline PrDy7In2 at its relaxed geometry.

Lattice parameters (Å, degrees): 5.5615 8.8723 8.8723 118.04 90.00 90.00
Closest atoms and distances in Å follow each position.
Sites, in units of the cell vectors:
1 Pr 0.0000 0.0000 0.0000  10 Dy 3.58-3.74
2 Dy 0.0000 0.7649 0.2351  2 In 2.96
3 Dy 0.0000 0.2351 0.7649  2 In 2.96
4 Dy 0.5000 0.0578 0.3037  2 In 3.13-3.19, 2 Dy 3.30-3.46
5 Dy 0.5000 0.9422 0.6963  2 In 3.13-3.19, 2 Dy 3.30-3.46
6 Dy 0.5000 0.3037 0.0578  2 In 3.13-3.19, 2 Dy 3.30-3.46
7 Dy 0.5000 0.6963 0.9422  2 In 3.13-3.19, 2 Dy 3.30-3.46
8 Dy 0.5000 0.5000 0.5000  2 In 3.00
9 In 0.5000 0.6973 0.3027  7 Dy 2.96-3.19
10 In 0.5000 0.3027 0.6973  7 Dy 2.96-3.19

The crystal system is orthorhombic. As for the energy: -3.9060 eV/atom.


A plane-wave DFT calculation with GGA-PBE was carried out for crystalline Pr8DyIn2 at its relaxed geometry.

Lattice parameters (Å, degrees): 5.2169 8.3891 9.3005 109.05 106.29 90.00
Closest atoms and distances in Å follow each position.
Sites, in units of the cell vectors:
1 Pr 0.3987 0.5340 0.7974  3 In 3.41-3.51, 7 Pr 3.65-3.79, 1 Dy 3.71
2 Pr 0.6864 0.9456 0.3728  1 In 3.29, 7 Pr 3.37-3.66, 1 Dy 3.51
3 Pr 0.8566 0.7954 0.7132  3 In 3.44-3.46, 7 Pr 3.64-3.70, 2 Dy 3.65
4 Pr 0.9470 0.2626 0.8939  1 In 3.43, 9 Pr 3.56-3.78, 2 Dy 3.74
5 Pr 0.1434 0.2046 0.2868  3 In 3.44-3.46, 7 Pr 3.64-3.70, 2 Dy 3.65
6 Pr 0.3136 0.0544 0.6272  1 In 3.29, 7 Pr 3.37-3.66, 1 Dy 3.51
7 Pr 0.6013 0.4660 0.2026  3 In 3.41-3.51, 7 Pr 3.65-3.79, 1 Dy 3.71
8 Pr 0.0530 0.7374 0.1061  1 In 3.43, 9 Pr 3.56-3.78, 2 Dy 3.74
9 Dy 0.5000 0.0000 0.0000  12 Pr 3.51-3.74
10 In 0.7751 0.3600 0.5502  8 Pr 3.29-3.51
11 In 0.2249 0.6400 0.4498  8 Pr 3.29-3.51

The crystal system is monoclinic. As for the energy: -4.5380 eV/atom.


A plane-wave DFT calculation with GGA-PBE was carried out for crystalline Pr2Dy2In3 at its relaxed geometry.

Lattice parameters (Å, degrees): 3.6998 7.8189 8.4605 117.39 90.00 103.69
Closest atoms and distances in Å follow each position.
Sites, in units of the cell vectors:
1 Pr 0.8715 0.7430 0.1830  6 In 3.38-3.53, 1 Dy 3.62, 2 Pr 3.70
2 Pr 0.1285 0.2570 0.8170  6 In 3.38-3.53, 1 Dy 3.62, 2 Pr 3.70
3 Dy 0.8157 0.6313 0.7174  5 In 3.16-3.26
4 Dy 0.1843 0.3687 0.2826  5 In 3.16-3.26
5 In 0.5000 0.0000 0.0000  4 Dy 3.26, 2 In 3.41, 4 Pr 3.53
6 In 0.5819 0.1637 0.4511  1 In 2.97, 3 Dy 3.16-3.18
7 In 0.4181 0.8363 0.5489  1 In 2.97, 3 Dy 3.16-3.18

The crystal system is monoclinic. As for the energy: -4.2068 eV/atom.


The energy of formation from the pure elements results, record by record, are as follows: -187; 341; -146; -353 meV/atom.